[1]
VASP calculation (PBE) on YAl2In after structural relaxation.

a = 10.1591 Å, b = 10.1591 Å, c = 10.1591 Å
α = 18.37°, β = 18.37°, γ = 18.37°
Positions (direct):
Y 0.7465 0.7465 0.7465
Al 0.9939 0.9939 0.9939
Al 0.2537 0.2537 0.2537
In 0.5059 0.5059 0.5059

Values from the calculation:
DFT formation energy ... 4 meV/atom
Crystal system ... trigonal



[2]
VASP calculation (PBE) on LaY4In2 after structural relaxation.

a = 8.4171 Å, b = 6.6441 Å, c = 8.4365 Å
α = 90.00°, β = 116.35°, γ = 90.00°
Positions (direct):
La 0.2472 0.7500 0.3132
La 0.7528 0.2500 0.6868
Y 0.5752 0.4945 0.2309
Y 0.0933 0.7500 0.8810
Y 0.9067 0.2500 0.1190
Y 0.5752 0.0055 0.2309
Y 0.0429 0.2500 0.5417
Y 0.4248 0.9945 0.7691
Y 0.4248 0.5055 0.7691
Y 0.9571 0.7500 0.4583
In 0.7942 0.7500 0.0279
In 0.2058 0.2500 0.9721
In 0.3348 0.2500 0.3967
In 0.6652 0.7500 0.6033

Values from the calculation:
DFT formation energy ... -197 meV/atom
Crystal system ... monoclinic



[3]
VASP calculation (PBE) on PmGeSO2 after structural relaxation.

a = 4.1312 Å, b = 6.6137 Å, c = 7.2797 Å
α = 115.73°, β = 90.00°, γ = 90.00°
Positions (direct):
Pm 0.2500 0.7030 0.9476
Pm 0.7500 0.2970 0.0524
Ge 0.2500 0.6543 0.4477
Ge 0.7500 0.3457 0.5523
S 0.2500 0.0199 0.7768
S 0.7500 0.9801 0.2232
O 0.7500 0.5450 0.4205
O 0.2500 0.4550 0.5795
O 0.7500 0.5088 0.8508
O 0.2500 0.4912 0.1492

Values from the calculation:
Crystal system ... monoclinic
Formation energy without anion corrections ... -1.88 eV per atom



[4]
VASP calculation (PBE) on U2RuW after structural relaxation.

a = 3.0992 Å, b = 3.0992 Å, c = 9.2170 Å
α = 80.32°, β = 80.32°, γ = 60.00°
Positions (direct):
Ru 0.5000 0.5000 0.5000
U 0.7513 0.7513 0.7460
U 0.2487 0.2487 0.2540
W 0.0000 0.0000 0.0000

Values from the calculation:
DFT formation energy ... 447 meV/atom
Crystal system ... trigonal